Entry 1:
# Zn3CuW4O16 GGA-PBEsol relaxed
data_Zn3CuW4O16
_chemical_formula_sum 'Zn3 Cu1 W4 O16'
_cell_length_a 6.698
_cell_length_b 5.728
_cell_length_c 6.829
_cell_angle_alpha 90.00
_cell_angle_beta 93.09
_cell_angle_gamma 90.00
_symmetry_space_group_name_H-M 'P 1 2 1'
_symmetry_Int_Tables_number 3
loop_
_symmetry_equiv_pos_as_xyz
'x,y,z'
'-x,y,-z'
loop_
_atom_site_label
_atom_site_fract_x
_atom_site_fract_y
_atom_site_fract_z
_atom_site_occupancy
Zn1 0.000 0.000 0.000 1
Zn2 0.249 0.649 0.751 1
Cu1 0.500 0.992 0.500 1
W1 0.000 0.147 0.500 1
W2 0.251 0.503 0.250 1
W3 0.500 0.144 0.000 1
O1 0.044 0.702 0.199 1
O2 0.047 0.220 0.233 1
O3 0.200 0.431 0.517 1
O4 0.212 0.953 0.548 1
O5 0.293 0.947 0.947 1
O6 0.298 0.430 0.983 1
O7 0.450 0.218 0.267 1
O8 0.457 0.700 0.302 1
# * V: 10.9 Å³/atom
# * DOS at the Fermi energy: 5.3 states/eV per cell
# * formation energy without anion corrections: -1.828 eV/atom

Entry 2:
# ZnCuW2O8 GGA-PBEsol relaxed
data_ZnCuW2O8
_chemical_formula_sum 'Zn1 Cu1 W2 O8'
_cell_length_a 4.656
_cell_length_b 4.897
_cell_length_c 5.773
_cell_angle_alpha 88.75
_cell_angle_beta 86.10
_cell_angle_gamma 88.26
_symmetry_space_group_name_H-M 'P 1'
_symmetry_Int_Tables_number 1
loop_
_symmetry_equiv_pos_as_xyz
'x,y,z'
loop_
_atom_site_label
_atom_site_fract_x
_atom_site_fract_y
_atom_site_fract_z
_atom_site_occupancy
Zn1 0.000 0.000 0.000 1
Cu1 0.007 0.509 0.341 1
W1 0.500 0.017 0.503 1
W2 0.514 0.512 0.856 1
O1 0.243 0.659 0.068 1
O2 0.250 0.178 0.315 1
O3 0.291 0.707 0.589 1
O4 0.292 0.197 0.791 1
O5 0.728 0.335 0.564 1
O6 0.728 0.828 0.784 1
O7 0.758 0.343 0.042 1
O8 0.773 0.849 0.308 1
# * V: 10.9 Å³/atom
# * DOS at the Fermi energy: 1.1 states/eV per cell
# * formation energy without anion corrections: -1.738 eV/atom